No. 1
8
Lattice="3.668 0.000 0.000 0.000 6.354 0.114 0.000 -2.220 5.953" Properties=species:S:1:pos:R:3 comment="LaPmNd2N4 | Alexandria via LeMat-Bulk | PBE | relaxed" raw_formation_energy_mev_per_atom=-1362 density_g_cm3=7.47 crystal_system=monoclinic spacegroup="P2/m (10)" pbc="T T T"
La 1.834 3.177 0.057
Pm 0.000 0.000 0.000
Nd 1.834 -1.110 2.976
Nd 0.000 2.067 3.033
N 1.834 1.016 1.514
N 1.834 3.117 4.553
N 0.000 -0.095 4.480
N 0.000 4.229 1.586

***

No. 2
12
Lattice="3.650 0.000 0.000 0.000 7.299 0.261 -1.825 -2.104 7.673" Properties=species:S:1:pos:R:3 comment="LaPm3Nd2N6 | Alexandria via LeMat-Bulk | PBE | relaxed" raw_formation_energy_mev_per_atom=-1386 density_g_cm3=7.61 crystal_system=monoclinic spacegroup="C2/m (12)" pbc="T T T"
La 1.825 0.000 0.000
Pm 1.825 3.650 0.131
Pm 1.825 -0.180 5.144
Pm 0.000 5.375 2.791
Nd 1.825 3.453 5.279
Nd 0.000 1.743 2.656
N 0.000 5.306 5.323
N 1.825 3.560 2.713
N 1.825 -0.111 2.612
N 1.825 -0.243 7.734
N 0.000 5.438 0.200
N 0.000 1.635 5.222

***

Values for D(E_F), states/eV/cell, ordered as above
0.8; 1.7
Values for E, eV/atom, ordered as above
-7.9262; -7.9416
Values for total magnetic moment, μB/f.u., ordered as above
0.00; 0.00